Entry from Alexandria via LeMat-Bulk: a relaxed structure of ThScRh (GGA-PBE).

abc: 5.436 4.655 6.023
angles: 90.00 105.84 90.00
Space group P2_1/m (No. 11)
Symmetry-distinct sites (fractional):
Th: 0.081 0.250 0.274 x2
Sc: 0.470 0.250 0.827 x2
Rh: 0.360 0.750 0.587 x2

Properties
- Crystal system: monoclinic
- DFT formation energy: -0.576 eV/atom
- Relative energy among the computed polymorphs: 0.0 kJ per mole of atoms

Entry from Alexandria via LeMat-Bulk: a relaxed structure of ThScRh (GGA-PBE).

abc: 3.371 3.371 12.173
angles: 90.00 90.00 90.00
Space group I4mm (No. 107)
Symmetry-distinct sites (fractional):
Th: 0.000 0.000 0.000 x2
Sc: 0.000 0.000 0.278 x2
Rh: 0.000 0.000 0.660 x2

Properties
- Crystal system: tetragonal
- DFT formation energy: -0.481 eV/atom
- Relative energy among the computed polymorphs: 9.2 kJ per mole of atoms

Entry from Alexandria via LeMat-Bulk: a relaxed structure of ThSc2Rh (GGA-PBE).

abc: 3.323 3.323 8.127
angles: 90.00 90.00 90.00
Space group P4/mmm (No. 123)
Symmetry-distinct sites (fractional):
Th: 0.000 0.000 0.000 x1
Sc: 0.500 0.500 0.312 x2
Rh: 0.000 0.000 0.500 x1

Properties
- Crystal system: tetragonal
- DFT formation energy: -0.481 eV/atom
- Relative energy among the computed polymorphs: 2.3 kJ per mole of atoms

Entry from Alexandria via LeMat-Bulk: a relaxed structure of ThSc3Rh2 (GGA-PBE).

abc: 4.443 8.487 6.880
angles: 90.00 90.00 90.00
Space group Pmc2_1 (No. 26)
Symmetry-distinct sites (fractional):
Th: 0.000 0.075 0.000 x2
Sc: 0.000 0.341 0.632 x2
Sc: 0.500 0.198 0.351 x2
Sc: 0.500 0.422 0.968 x2
Rh: 0.000 0.346 0.227 x2
Rh: 0.500 0.153 0.737 x2

Properties
- Crystal system: orthorhombic
- DFT formation energy: -0.681 eV/atom

Entry from Alexandria via LeMat-Bulk: a relaxed structure of ScTi3Rh4 (GGA-PBE).

abc: 4.378 4.378 6.449
angles: 90.00 90.00 90.00
Space group P4/mmm (No. 123)
Symmetry-distinct sites (fractional):
Sc: 0.000 0.000 0.000 x1
Ti: 0.000 0.000 0.500 x1
Ti: 0.500 0.500 0.000 x1
Ti: 0.500 0.500 0.500 x1
Rh: 0.000 0.500 0.259 x4

Properties
- Crystal system: tetragonal
- DFT formation energy: -0.796 eV/atom

Entry from Alexandria via LeMat-Bulk: a relaxed structure of Sc4TiRh5 (GGA-PBE).

abc: 3.163 3.163 16.480
angles: 90.00 90.00 90.00
Space group P4/mmm (No. 123)
Symmetry-distinct sites (fractional):
Sc: 0.000 0.000 0.101 x2
Sc: 0.000 0.000 0.303 x2
Ti: 0.000 0.000 0.500 x1
Rh: 0.500 0.500 0.000 x1
Rh: 0.500 0.500 0.203 x2
Rh: 0.500 0.500 0.409 x2

Properties
- Crystal system: tetragonal
- DFT formation energy: -0.961 eV/atom

Entry from Alexandria via LeMat-Bulk: a relaxed structure of Sc3TiRh4 (GGA-PBE).

abc: 3.143 3.143 13.287
angles: 90.00 90.00 90.00
Space group P4/mmm (No. 123)
Symmetry-distinct sites (fractional):
Sc: 0.000 0.000 0.000 x1
Sc: 0.000 0.000 0.253 x2
Ti: 0.000 0.000 0.500 x1
Rh: 0.500 0.500 0.128 x2
Rh: 0.500 0.500 0.386 x2

Properties
- Crystal system: tetragonal
- DFT formation energy: -0.947 eV/atom

Entry from Alexandria via LeMat-Bulk: a relaxed structure of ScTi2Rh (GGA-PBE).

abc: 6.430 6.430 6.430
angles: 90.00 90.00 90.00
Space group Fm-3m (No. 225)
Symmetry-distinct sites (fractional):
Sc: 0.000 0.000 0.000 x4
Ti: 0.250 0.250 0.250 x8
Rh: 0.000 0.000 0.500 x4

Properties
- Crystal system: cubic
- DFT formation energy: -0.241 eV/atom
- Relative energy among the computed polymorphs: 0.0 kJ per mole of atoms

Entry from Alexandria via LeMat-Bulk: a relaxed structure of ScTi3Rh6 (GGA-PBE).

abc: 8.186 4.103 9.104
angles: 90.00 96.25 90.00
Space group P2_1/m (No. 11)
Symmetry-distinct sites (fractional):
Sc: 0.060 0.250 0.381 x2
Ti: 0.246 0.250 0.047 x2
Ti: 0.337 0.750 0.821 x2
Ti: 0.435 0.250 0.602 x2
Rh: 0.063 0.750 0.915 x2
Rh: 0.160 0.750 0.208 x2
Rh: 0.170 0.250 0.726 x2
Rh: 0.268 0.750 0.512 x2
Rh: 0.390 0.250 0.314 x2
Rh: 0.471 0.750 0.105 x2

Properties
- Crystal system: monoclinic
- DFT formation energy: -0.790 eV/atom

Entry from Alexandria via LeMat-Bulk: a relaxed structure of Sc2TiRh (GGA-PBE).

abc: 3.1103 3.1103 28.5656
angles: 90.00 90.00 120.00
Space group R-3m (No. 166, hexagonal axes)
Symmetry-distinct sites (fractional):
Sc: 0.0000 0.0000 0.0968 x6
Ti: 0.0000 0.0000 0.0000 x3
Rh: 0.0000 0.0000 0.5000 x3

Properties
- Crystal system: trigonal
- DFT formation energy: -0.043 eV/atom
- Relative energy among the computed polymorphs: 35.1 kJ per mole of atoms

Entry from Alexandria via LeMat-Bulk: a relaxed structure of ScTi3Rh (GGA-PBE).

abc: 4.519 4.519 4.519
angles: 90.00 90.00 90.00
Space group Pm-3m (No. 221)
Symmetry-distinct sites (fractional):
Sc: 0.000 0.000 0.000 x1
Ti: 0.000 0.000 0.500 x3
Rh: 0.500 0.500 0.500 x1

Properties
- Crystal system: cubic
- DFT formation energy: 1.188 eV/atom
- Relative energy among the computed polymorphs: 92.1 kJ per mole of atoms

Entry from Alexandria via LeMat-Bulk: a relaxed structure of ScTiRh4 (GGA-PBE).

abc: 10.236 3.058 6.252
angles: 90.00 108.17 90.00
Space group C2/m (No. 12)
Symmetry-distinct sites (fractional):
Sc: 0.000 0.000 0.000 x2
Ti: 0.000 0.000 0.500 x2
Rh: 0.150 0.500 0.350 x4
Rh: 0.160 0.500 0.815 x4

Properties
- Crystal system: monoclinic
- DFT formation energy: -0.541 eV/atom

Entry from Alexandria via LeMat-Bulk: a relaxed structure of Sc6TiRh5 (GGA-PBE).

abc: 4.585 13.787 6.582
angles: 90.00 90.00 90.00
Space group Cmmm (No. 65)
Symmetry-distinct sites (fractional):
Sc: 0.000 0.000 0.239 x4
Sc: 0.000 0.330 0.247 x8
Ti: 0.000 0.500 0.500 x2
Rh: 0.000 0.161 0.500 x4
Rh: 0.000 0.169 0.000 x4
Rh: 0.000 0.500 0.000 x2

Properties
- Crystal system: orthorhombic
- DFT formation energy: -0.787 eV/atom

Entry from Alexandria via LeMat-Bulk: a relaxed structure of Sc2TiRh (GGA-PBE).

abc: 3.212 3.212 7.252
angles: 90.00 90.00 90.00
Space group P4/mmm (No. 123)
Symmetry-distinct sites (fractional):
Sc: 0.000 0.000 0.223 x2
Ti: 0.500 0.500 0.500 x1
Rh: 0.500 0.500 0.000 x1

Properties
- Crystal system: tetragonal
- DFT formation energy: -0.406 eV/atom
- Relative energy among the computed polymorphs: 0.0 kJ per mole of atoms

Entry from Alexandria via LeMat-Bulk: a relaxed structure of Sc2TiRh (GGA-PBE).

abc: 7.507 7.507 5.720
angles: 90.00 90.00 90.00
Space group I-42d (No. 122)
Symmetry-distinct sites (fractional):
Sc: 0.205 0.250 0.125 x8
Ti: 0.000 0.000 0.500 x4
Rh: 0.000 0.000 0.000 x4

Properties
- Crystal system: tetragonal
- DFT formation energy: -0.082 eV/atom
- Relative energy among the computed polymorphs: 31.3 kJ per mole of atoms

Entry from Alexandria via LeMat-Bulk: a relaxed structure of ScTi4Rh5 (GGA-PBE).

abc: 3.104 3.104 15.994
angles: 90.00 90.00 90.00
Space group P4/mmm (No. 123)
Symmetry-distinct sites (fractional):
Sc: 0.000 0.000 0.000 x1
Ti: 0.000 0.000 0.207 x2
Ti: 0.000 0.000 0.403 x2
Rh: 0.500 0.500 0.113 x2
Rh: 0.500 0.500 0.307 x2
Rh: 0.500 0.500 0.500 x1

Properties
- Crystal system: tetragonal
- DFT formation energy: -0.791 eV/atom

Entry from Alexandria via LeMat-Bulk: a relaxed structure of Sc2TiRh (GGA-PBE).

abc: 6.655 6.655 6.655
angles: 90.00 90.00 90.00
Space group Fm-3m (No. 225)
Symmetry-distinct sites (fractional):
Sc: 0.250 0.250 0.250 x8
Ti: 0.000 0.000 0.000 x4
Rh: 0.000 0.000 0.500 x4

Properties
- Crystal system: cubic
- DFT formation energy: -0.297 eV/atom
- Relative energy among the computed polymorphs: 10.5 kJ per mole of atoms

Entry from Alexandria via LeMat-Bulk: a relaxed structure of ScTi2Rh (GGA-PBE).

abc: 7.384 7.384 5.552
angles: 90.00 90.00 90.00
Space group I-42d (No. 122)
Symmetry-distinct sites (fractional):
Sc: 0.000 0.000 0.000 x4
Ti: 0.197 0.250 0.625 x8
Rh: 0.000 0.000 0.500 x4

Properties
- Crystal system: tetragonal
- DFT formation energy: -0.137 eV/atom
- Relative energy among the computed polymorphs: 10.1 kJ per mole of atoms

Entry from Alexandria via LeMat-Bulk: a relaxed structure of ScTi3Rh (GGA-PBE).

abc: 4.742 4.742 4.742
angles: 90.00 90.00 90.00
Space group Pm-3m (No. 221)
Symmetry-distinct sites (fractional):
Sc: 0.000 0.000 0.000 x1
Ti: 0.000 0.500 0.500 x3
Rh: 0.500 0.500 0.500 x1

Properties
- Crystal system: cubic
- DFT formation energy: 0.233 eV/atom
- Relative energy among the computed polymorphs: 0.0 kJ per mole of atoms

Entry from Alexandria via LeMat-Bulk: a relaxed structure of ScTiRh3 (GGA-PBE).

abc: 4.530 4.530 4.530
angles: 90.00 90.00 90.00
Space group Pm-3m (No. 221)
Symmetry-distinct sites (fractional):
Sc: 0.000 0.000 0.000 x1
Ti: 0.500 0.500 0.500 x1
Rh: 0.000 0.500 0.500 x3

Properties
- Crystal system: cubic
- DFT formation energy: -0.089 eV/atom
- Relative energy among the computed polymorphs: 0.0 kJ per mole of atoms

Entry from Alexandria via LeMat-Bulk: a relaxed structure of Zr2ScTi2Rh5 (GGA-PBE).

abc: 9.640 9.640 3.670
angles: 90.00 90.00 90.00
Space group P4/mbm (No. 127)
Symmetry-distinct sites (fractional):
Zr: 0.175 0.325 0.000 x4
Sc: 0.000 0.000 0.000 x2
Ti: 0.123 0.623 0.000 x4
Rh: 0.000 0.500 0.500 x2
Rh: 0.066 0.793 0.500 x8

Properties
- Crystal system: tetragonal
- DFT formation energy: -0.650 eV/atom

Entry from Alexandria via LeMat-Bulk: a relaxed structure of Sc5TlRh4 (GGA-PBE).

abc: 3.275 3.275 16.871
angles: 90.00 90.00 90.00
Space group P4/mmm (No. 123)
Symmetry-distinct sites (fractional):
Sc: 0.000 0.000 0.000 x1
Sc: 0.000 0.000 0.189 x2
Sc: 0.000 0.000 0.377 x2
Tl: 0.500 0.500 0.500 x1
Rh: 0.500 0.500 0.094 x2
Rh: 0.500 0.500 0.286 x2

Properties
- Crystal system: tetragonal
- DFT formation energy: -0.857 eV/atom

Entry from Alexandria via LeMat-Bulk: a relaxed structure of ScTlRh3 (GGA-PBE).

abc: 4.900 4.900 4.900
angles: 90.00 90.00 90.00
Space group Pm-3m (No. 221)
Symmetry-distinct sites (fractional):
Sc: 0.000 0.000 0.000 x1
Tl: 0.500 0.500 0.500 x1
Rh: 0.000 0.500 0.500 x3

Properties
- Crystal system: cubic
- DFT formation energy: 1.001 eV/atom
- Relative energy among the computed polymorphs: 38.8 kJ per mole of atoms

Entry from Alexandria via LeMat-Bulk: a relaxed structure of Sc2TlRh (GGA-PBE).

abc: 3.351 3.351 7.162
angles: 90.00 90.00 90.00
Space group P4/mmm (No. 123)
Symmetry-distinct sites (fractional):
Sc: 0.000 0.000 0.214 x2
Tl: 0.500 0.500 0.500 x1
Rh: 0.500 0.500 0.000 x1

Properties
- Crystal system: tetragonal
- DFT formation energy: -0.634 eV/atom
- Relative energy among the computed polymorphs: 0.0 kJ per mole of atoms

| no. | magnetic moment (μB per formula unit) | energy (eV per cell) |
| --- | --- | --- |
| 1 | 0.0 | -45.66 |
| 2 | 0.0 | -45.09 |
| 3 | 0.0 | -29.36 |
| 4 | 0.0 | -90.40 |
| 5 | 0.0 | -65.79 |
| 6 | 0.0 | -79.58 |
| 7 | 0.0 | -63.87 |
| 8 | 0.0 | -121.75 |
| 9 | 0.0 | -164.05 |
| 10 | 1.6 | -84.24 |
| 11 | 0.0 | -31.43 |
| 12 | 0.0 | -93.76 |
| 13 | 2.4 | -184.17 |
| 14 | 0.0 | -29.53 |
| 15 | 1.0 | -112.95 |
| 16 | 0.0 | -82.58 |
| 17 | 2.8 | -116.39 |
| 18 | 0.0 | -120.08 |
| 19 | 0.0 | -36.20 |
| 20 | 0.0 | -36.73 |
| 21 | 0.0 | -164.96 |
| 22 | 0.0 | -72.00 |
| 23 | 0.8 | -25.75 |
| 24 | 0.0 | -24.92 |